# 1
Here is a geometry-optimized La2Nd5Sm12 structure from Alexandria. Energies are from GGA-PBE.

The value obtained for the mass density is 6983 kg/m3. The value obtained for the calculated formation energy is 0.126 eV per atom. The density of states at the Fermi level comes out at 26.6 states/eV/f.u. For the total DFT energy (no corrections), the calculation gives -4.627 eV per atom.

Cell: 9.398 12.567 8.871 Å, 132.43 90.00 111.96°
Element x y z (fractional)
1 La 0.669 0.000 0.000
2 La 0.331 0.000 0.000
3 Nd 0.286 0.572 0.607
4 Nd 0.233 0.465 0.897
5 Nd 0.000 0.000 0.500
6 Nd 0.767 0.535 0.103
7 Nd 0.714 0.428 0.393
8 Sm 0.069 0.138 0.262
9 Sm 0.032 0.706 0.948
10 Sm 0.674 0.706 0.948
11 Sm 0.173 0.736 0.415
12 Sm 0.563 0.736 0.415
13 Sm 0.558 0.116 0.771
14 Sm 0.442 0.884 0.229
15 Sm 0.827 0.264 0.585
16 Sm 0.437 0.264 0.585
17 Sm 0.968 0.294 0.052
18 Sm 0.326 0.294 0.052
19 Sm 0.931 0.862 0.738

=====

# 2
Here is a geometry-optimized LaNdSm5 structure from Alexandria. Energies are from GGA-PBE.

The value obtained for the mass density is 5595 kg/m3. As for the distance to the lowest polymorph of the same formula: 815 meV per atom. The value obtained for the calculated formation energy is 0.983 eV per atom. The density of states at the Fermi level comes out at 11.9 states/eV/f.u. For the total DFT energy (no corrections), the calculation gives -3.773 eV per atom.

Cell: 5.835 7.979 7.979 Å, 66.92 68.55 68.55°
Element x y z (fractional)
1 La 0.000 0.000 0.000
2 Nd 0.500 0.500 0.500
3 Sm 0.500 0.180 0.820
4 Sm 0.500 0.820 0.180
5 Sm 0.751 0.249 0.249
6 Sm 0.249 0.751 0.751
7 Sm 0.000 0.500 0.500

=====

# 3
Here is a geometry-optimized La5Nd5Sm2 structure from Alexandria. Energies are from GGA-PBE.

The value obtained for the mass density is 6637 kg/m3. The value obtained for the calculated formation energy is 0.017 eV per atom. The density of states at the Fermi level comes out at 22.5 states/eV/f.u. For the total DFT energy (no corrections), the calculation gives -4.809 eV per atom.

Cell: 5.239 11.066 8.288 Å, 98.67 71.57 76.31°
Element x y z (fractional)
1 La 0.666 0.251 0.416
2 La 0.998 0.252 0.753
3 La 0.002 0.748 0.247
4 La 0.334 0.749 0.584
5 La 0.000 0.000 0.000
6 Nd 0.000 0.500 0.500
7 Nd 0.668 0.747 0.917
8 Nd 0.333 0.000 0.334
9 Nd 0.667 0.000 0.666
10 Nd 0.332 0.253 0.083
11 Sm 0.333 0.500 0.834
12 Sm 0.667 0.500 0.166